# PBE AsSeI2, relaxed
# - polymorph energy (0 for the lowest one) (meV/atom) = 489.7
data_AsSeI2
_chemical_formula_sum 'As4 Se4 I8'
_symmetry_space_group_name_H-M 'I -4 2 d'
_symmetry_Int_Tables_number 122
_symmetry_space_group_name_Hall 'I -4 2bw'
_cell_length_a 7.987
_cell_length_b 7.987
_cell_length_c 8.096
_cell_angle_alpha 90.00
_cell_angle_beta 90.00
_cell_angle_gamma 90.00
loop_
_atom_site_label
_atom_site_type_symbol
_atom_site_fract_x
_atom_site_fract_y
_atom_site_fract_z
As1 As 0.000 0.000 0.000
Se1 Se 0.000 0.000 0.500
I1 I 0.229 0.250 0.125

---

# PBE SiAsSe2I, relaxed
# - polymorph energy (0 for the lowest one) (meV/atom) = 822.3
data_SiAsSe2I
_chemical_formula_sum 'Si1 As1 Se2 I1'
_symmetry_space_group_name_H-M 'P 4/m m m'
_symmetry_Int_Tables_number 123
_symmetry_space_group_name_Hall '-P 4 2'
_cell_length_a 5.312
_cell_length_b 5.312
_cell_length_c 5.428
_cell_angle_alpha 90.00
_cell_angle_beta 90.00
_cell_angle_gamma 90.00
loop_
_atom_site_label
_atom_site_type_symbol
_atom_site_fract_x
_atom_site_fract_y
_atom_site_fract_z
Si1 Si 0.000 0.000 0.000
As1 As 0.500 0.500 0.000
Se1 Se 0.000 0.500 0.500
I1 I 0.500 0.500 0.500

---

# PBE SiAsSe2I, relaxed
# - polymorph energy (0 for the lowest one) (meV/atom) = 0.0
data_SiAsSe2I
_chemical_formula_sum 'Si1 As1 Se2 I1'
_symmetry_space_group_name_H-M 'P 4/m m m'
_symmetry_Int_Tables_number 123
_symmetry_space_group_name_Hall '-P 4 2'
_cell_length_a 4.730
_cell_length_b 4.730
_cell_length_c 5.453
_cell_angle_alpha 90.00
_cell_angle_beta 90.00
_cell_angle_gamma 90.00
loop_
_atom_site_label
_atom_site_type_symbol
_atom_site_fract_x
_atom_site_fract_y
_atom_site_fract_z
Si1 Si 0.000 0.000 0.000
As1 As 0.000 0.000 0.500
Se1 Se 0.000 0.500 0.000
I1 I 0.500 0.500 0.500